(1)
A plane-wave DFT calculation with GGA-PBE was carried out for a relaxed structure of Li2AcBO4. Values from VASP.

Structure (Quantum ESPRESSO input):
```
&SYSTEM
  ibrav = 0, nat = 16, ntyp = 4
/
ATOMIC_SPECIES
Li 6.94 Li.upf
Ac 227.00 Ac.upf
B 10.81 B.upf
O 16.00 O.upf
ATOMIC_POSITIONS angstrom
Li 1.7788 4.1444 5.2627
Li 1.7788 4.1444 9.2228
Li 1.7788 -4.1444 0.4342
Li 1.7788 -4.1444 4.3943
Ac 1.7788 0.5162 7.2427
Ac 1.7788 -0.5162 2.4142
B 1.7788 2.6158 2.4142
B 1.7788 -2.6158 7.2427
O 1.7788 4.4069 7.2427
O 1.7788 3.0783 1.1967
O 1.7788 3.0783 3.6318
O 1.7788 0.0000 0.0000
O 1.7788 0.0000 4.8285
O 1.7788 -3.0783 6.0252
O 1.7788 -3.0783 8.4603
O 1.7788 -4.4069 2.4142
CELL_PARAMETERS angstrom
1.7788 -5.5776 0.0000
1.7788 5.5776 0.0000
0.0000 0.0000 9.6570
```


(2)
A plane-wave DFT calculation with GGA-PBE was carried out for a relaxed structure of ErCuNi5Ge2. Values from VASP.

Structure (Quantum ESPRESSO input):
```
&SYSTEM
  ibrav = 0, nat = 9, ntyp = 4
/
ATOMIC_SPECIES
Er 167.26 Er.upf
Cu 63.55 Cu.upf
Ni 58.69 Ni.upf
Ge 72.64 Ge.upf
ATOMIC_POSITIONS angstrom
Er 0.0000 0.0000 0.0000
Cu 0.0000 0.0000 4.4973
Ni 0.0000 1.8925 1.9795
Ni 0.0000 1.8925 7.0150
Ni 1.8925 0.0000 1.9795
Ni 1.8925 0.0000 7.0150
Ni 1.8925 1.8925 0.0000
Ge 1.8925 1.8925 3.3057
Ge 1.8925 1.8925 5.6888
CELL_PARAMETERS angstrom
3.7850 0.0000 0.0000
0.0000 3.7850 0.0000
0.0000 0.0000 8.9945
```


(3)
A plane-wave DFT calculation with GGA-PBE was carried out for a relaxed structure of DyCd2Hg. Values from VASP.

Structure (Quantum ESPRESSO input):
```
&SYSTEM
  ibrav = 0, nat = 4, ntyp = 3
/
ATOMIC_SPECIES
Dy 162.50 Dy.upf
Cd 112.41 Cd.upf
Hg 200.59 Hg.upf
ATOMIC_POSITIONS angstrom
Dy 0.0000 0.0000 0.0000
Cd 0.0000 2.2246 2.4350
Cd 2.2246 0.0000 2.4350
Hg 2.2246 2.2246 0.0000
CELL_PARAMETERS angstrom
4.4492 0.0000 0.0000
0.0000 4.4492 0.0000
0.0000 0.0000 4.8700
```


(4)
A plane-wave DFT calculation with GGA-PBE was carried out for a relaxed structure of NaHg2HPt. Values from VASP.

Structure (Quantum ESPRESSO input):
```
&SYSTEM
  ibrav = 0, nat = 5, ntyp = 4
/
ATOMIC_SPECIES
Na 22.99 Na.upf
Hg 200.59 Hg.upf
H 1.01 H.upf
Pt 195.08 Pt.upf
ATOMIC_POSITIONS angstrom
Na 0.0000 0.0000 0.0000
Hg 0.0000 2.6952 1.7725
Hg 2.6952 0.0000 1.7725
H 2.6952 2.6952 0.0000
Pt 2.6952 2.6952 1.7725
CELL_PARAMETERS angstrom
5.3903 0.0000 0.0000
0.0000 5.3903 0.0000
0.0000 0.0000 3.5449
```


(5)
A plane-wave DFT calculation with GGA-PBE was carried out for a relaxed structure of In2Bi2O7. Values from VASP.

Structure (Quantum ESPRESSO input):
```
&SYSTEM
  ibrav = 0, nat = 11, ntyp = 3
/
ATOMIC_SPECIES
In 114.82 In.upf
Bi 208.98 Bi.upf
O 16.00 O.upf
ATOMIC_POSITIONS angstrom
In 3.7823 2.1139 0.0000
In 3.7823 -2.1139 0.0000
Bi 1.9552 0.0000 2.7091
Bi 5.6142 0.0000 2.3125
O 0.1923 0.0000 1.4801
O 0.5345 0.0000 4.3268
O 2.9716 1.6724 3.4282
O 3.4237 0.0000 1.1124
O 5.6299 1.5296 0.7724
O 2.9716 -1.6724 3.4282
O 5.6299 -1.5296 0.7724
CELL_PARAMETERS angstrom
3.7823 -3.9468 0.0000
3.7823 3.9468 0.0000
-0.1861 0.0000 5.4160
```


(6)
A plane-wave DFT calculation with GGA-PBE was carried out for a relaxed structure of Pr3Ge2Cl. Values from VASP.

Structure (Quantum ESPRESSO input):
```
&SYSTEM
  ibrav = 0, nat = 24, ntyp = 3
/
ATOMIC_SPECIES
Pr 140.91 Pr.upf
Ge 72.64 Ge.upf
Cl 35.45 Cl.upf
ATOMIC_POSITIONS angstrom
Pr 1.5065 3.1825 3.2984
Pr 1.5057 3.2382 7.6084
Pr 1.5132 7.5058 3.2518
Pr 1.5133 7.5853 7.4318
Pr 1.5141 11.6766 3.1218
Pr 1.5124 11.7561 7.5618
Pr 4.5330 1.0852 1.0582
Pr 4.5312 1.1647 5.4982
Pr 4.5321 5.2560 1.1882
Pr 4.5322 5.3355 5.3682
Pr 4.5397 9.6031 1.0116
Pr 4.5388 9.6588 5.3216
Ge 1.5094 1.0732 1.1362
Ge 1.5085 5.3474 5.4462
Ge 1.5166 9.5793 1.0611
Ge 1.5158 9.6826 5.3711
Ge 4.5296 3.1586 3.2489
Ge 4.5288 3.2620 7.5589
Ge 4.5368 7.4939 3.1738
Ge 4.5360 11.7681 7.4838
Cl 1.5073 1.0937 5.4066
Cl 1.5082 5.3270 1.0966
Cl 4.5372 7.5143 7.5235
Cl 4.5380 11.7476 3.2135
CELL_PARAMETERS angstrom
6.0470 0.0000 0.0000
0.0000 12.8413 0.0000
-0.0016 0.0000 8.6200
```


(7)
A plane-wave DFT calculation with GGA-PBE was carried out for a relaxed structure of ErThHgRh. Values from VASP.

Structure (Quantum ESPRESSO input):
```
&SYSTEM
  ibrav = 0, nat = 4, ntyp = 4
/
ATOMIC_SPECIES
Er 167.26 Er.upf
Th 232.04 Th.upf
Hg 200.59 Hg.upf
Rh 102.91 Rh.upf
ATOMIC_POSITIONS angstrom
Er 0.0000 0.0000 0.0000
Th 0.0029 0.0000 4.4732
Hg 4.6894 0.0000 2.1145
Rh 2.3480 0.0000 6.0059
CELL_PARAMETERS angstrom
3.5175 -2.0354 0.0000
3.5175 2.0354 0.0000
-2.3402 0.0000 7.5523
```


(8)
A plane-wave DFT calculation with GGA-PBE was carried out for a relaxed structure of SbIrBr2. Values from VASP.

Structure (Quantum ESPRESSO input):
```
&SYSTEM
  ibrav = 0, nat = 4, ntyp = 3
/
ATOMIC_SPECIES
Sb 121.76 Sb.upf
Ir 192.22 Ir.upf
Br 79.90 Br.upf
ATOMIC_POSITIONS angstrom
Sb 0.0000 0.0000 0.0000
Ir 2.6133 1.9354 3.5451
Br 0.0123 1.9354 3.1458
Br 2.6132 0.0000 1.4442
CELL_PARAMETERS angstrom
5.2058 0.0000 0.0000
0.0000 3.8707 0.0000
-2.5849 0.0000 5.1998
```


(9)
A plane-wave DFT calculation with GGA-PBE was carried out for a relaxed structure of NaTl2In4Hg2. Values from VASP.

Structure (Quantum ESPRESSO input):
```
&SYSTEM
  ibrav = 0, nat = 9, ntyp = 4
/
ATOMIC_SPECIES
Na 22.99 Na.upf
Tl 204.38 Tl.upf
In 114.82 In.upf
Hg 200.59 Hg.upf
ATOMIC_POSITIONS angstrom
Na 0.0000 0.0000 0.0000
Tl 1.7067 0.9854 2.7885
Tl 1.7067 0.9854 21.9455
In 0.0000 0.0000 5.5410
In 0.0000 0.0000 10.8039
In 1.7067 0.9854 13.5839
In 1.7067 0.9854 18.8125
Hg 0.0000 0.0000 16.1907
Hg 1.7067 0.9854 8.1604
CELL_PARAMETERS angstrom
3.4134 0.0000 0.0000
-1.7067 2.9561 0.0000
0.0000 0.0000 24.7786
```


(10)
A plane-wave DFT calculation with GGA-PBE was carried out for a relaxed structure of PuCdI6. Values from VASP.

Structure (Quantum ESPRESSO input):
```
&SYSTEM
  ibrav = 0, nat = 8, ntyp = 3
/
ATOMIC_SPECIES
Pu 244.00 Pu.upf
Cd 112.41 Cd.upf
I 126.90 I.upf
ATOMIC_POSITIONS angstrom
Pu 0.0000 0.0000 0.0000
Cd 2.4384 0.0000 3.5198
I 1.2564 2.1126 1.8042
I -0.2134 0.0000 5.3538
I 1.2564 -2.1126 1.8042
I 3.6204 2.1126 5.2353
I 5.0901 0.0000 1.6858
I 3.6204 -2.1126 5.2353
CELL_PARAMETERS angstrom
3.7593 -6.9550 0.0000
3.7593 6.9550 0.0000
-2.6419 0.0000 7.0396
```


(11)
A plane-wave DFT calculation with GGA-PBE was carried out for a relaxed structure of Ce4PuIn3. Values from VASP.

Structure (Quantum ESPRESSO input):
```
&SYSTEM
  ibrav = 0, nat = 8, ntyp = 3
/
ATOMIC_SPECIES
Ce 140.12 Ce.upf
Pu 244.00 Pu.upf
In 114.82 In.upf
ATOMIC_POSITIONS angstrom
Ce 2.3926 0.0000 2.3560
Ce 2.3926 0.0000 7.1253
Ce 0.0000 2.3926 2.3560
Ce 0.0000 2.3926 7.1253
Pu 0.0000 0.0000 0.0000
In 0.0000 0.0000 4.7400
In 0.0000 0.0000 9.4812
In 0.0000 0.0000 14.2225
CELL_PARAMETERS angstrom
-2.3926 2.3926 9.4812
2.3926 -2.3926 9.4812
2.3926 2.3926 -9.4812
```


(12)
A plane-wave DFT calculation with GGA-PBE was carried out for a relaxed structure of Fe5Se3. Values from VASP.

Structure (Quantum ESPRESSO input):
```
&SYSTEM
  ibrav = 0, nat = 16, ntyp = 2
/
ATOMIC_SPECIES
Fe 55.84 Fe.upf
Se 78.96 Se.upf
ATOMIC_POSITIONS angstrom
Fe -1.4653 2.5379 1.2248
Fe -2.2413 3.8821 3.6743
Fe 0.0000 4.2800 0.0000
Fe 0.0000 4.2800 2.4495
Fe 2.9305 0.0000 1.2248
Fe 1.4653 2.5379 3.6743
Fe 4.4827 0.0000 3.6743
Fe 2.2413 3.8821 1.2248
Fe 3.7066 2.1400 0.0000
Fe 3.7066 2.1400 2.4495
Se -1.0822 1.8744 3.6743
Se -2.6244 4.5456 1.2248
Se 2.1644 0.0000 3.6743
Se 1.0822 1.8744 1.2248
Se 5.2488 0.0000 1.2248
Se 2.6244 4.5456 3.6743
CELL_PARAMETERS angstrom
7.4132 0.0000 0.0000
-3.7066 6.4200 0.0000
0.0000 0.0000 4.8990
```


(13)
A plane-wave DFT calculation with GGA-PBE was carried out for a relaxed structure of KLiCa2Hg. Values from VASP.

Structure (Quantum ESPRESSO input):
```
&SYSTEM
  ibrav = 0, nat = 5, ntyp = 4
/
ATOMIC_SPECIES
K 39.10 K.upf
Li 6.94 Li.upf
Ca 40.08 Ca.upf
Hg 200.59 Hg.upf
ATOMIC_POSITIONS angstrom
K 0.0000 0.0000 0.0000
Li 3.0301 3.0301 0.0000
Ca 0.0000 3.0301 2.7106
Ca 3.0301 0.0000 2.7106
Hg 3.0301 3.0301 2.7106
CELL_PARAMETERS angstrom
6.0601 0.0000 0.0000
0.0000 6.0601 0.0000
0.0000 0.0000 5.4212
```


(14)
A plane-wave DFT calculation with GGA-PBE was carried out for a relaxed structure of BeReW2. Values from VASP.

Structure (Quantum ESPRESSO input):
```
&SYSTEM
  ibrav = 0, nat = 4, ntyp = 3
/
ATOMIC_SPECIES
Be 9.01 Be.upf
Re 186.21 Re.upf
W 183.84 W.upf
ATOMIC_POSITIONS angstrom
Be 0.0000 0.0000 0.0000
Re 1.5811 0.0000 1.8119
W 0.0000 0.0000 4.0302
W 1.5811 0.0000 6.2909
CELL_PARAMETERS angstrom
1.5811 -2.2012 0.0000
1.5811 2.2012 0.0000
0.0000 0.0000 8.1707
```


(15)
A plane-wave DFT calculation with GGA-PBE was carried out for a relaxed structure of NdHo7Tl4. Values from VASP.

Structure (Quantum ESPRESSO input):
```
&SYSTEM
  ibrav = 0, nat = 12, ntyp = 3
/
ATOMIC_SPECIES
Nd 144.24 Nd.upf
Ho 164.93 Ho.upf
Tl 204.38 Tl.upf
ATOMIC_POSITIONS angstrom
Nd 0.0000 0.0000 0.0000
Ho -1.2748 0.0000 3.4294
Ho -1.8003 0.0000 7.5149
Ho 2.1571 0.0000 2.8259
Ho 7.3502 0.0000 0.0000
Ho 7.0086 0.0000 5.7354
Ho 10.9660 0.0000 1.0464
Ho 10.4404 0.0000 5.1318
Tl 0.9338 0.0000 5.7006
Tl 5.0724 0.0000 2.1829
Tl 4.0932 0.0000 6.3784
Tl 8.2319 0.0000 2.8607
CELL_PARAMETERS angstrom
7.3502 -2.8630 0.0000
7.3502 2.8630 0.0000
-5.5347 0.0000 8.5613
```


(16)
A plane-wave DFT calculation with GGA-PBE was carried out for a relaxed structure of ZrTl2Ir. Values from VASP.

Structure (Quantum ESPRESSO input):
```
&SYSTEM
  ibrav = 0, nat = 4, ntyp = 3
/
ATOMIC_SPECIES
Zr 91.22 Zr.upf
Tl 204.38 Tl.upf
Ir 192.22 Ir.upf
ATOMIC_POSITIONS angstrom
Zr 0.0000 0.0000 0.0000
Tl 2.1672 0.0000 2.2399
Tl 0.0000 2.1672 2.2399
Ir 0.0000 0.0000 4.4798
CELL_PARAMETERS angstrom
-2.1672 2.1672 4.4798
2.1672 -2.1672 4.4798
2.1672 2.1672 -4.4798
```


(17)
A plane-wave DFT calculation with GGA-PBE was carried out for a relaxed structure of NbNi2AsW. Values from VASP.

Structure (Quantum ESPRESSO input):
```
&SYSTEM
  ibrav = 0, nat = 5, ntyp = 4
/
ATOMIC_SPECIES
Nb 92.91 Nb.upf
Ni 58.69 Ni.upf
As 74.92 As.upf
W 183.84 W.upf
ATOMIC_POSITIONS angstrom
Nb 0.0000 0.0000 0.0000
Ni 0.0000 2.2281 0.0000
Ni 2.2281 0.0000 0.0000
As 0.0000 0.0000 2.3960
W 2.2281 2.2281 2.3960
CELL_PARAMETERS angstrom
4.4561 0.0000 0.0000
0.0000 4.4561 0.0000
0.0000 0.0000 4.7920
```


(18)
A plane-wave DFT calculation with GGA-PBE was carried out for a relaxed structure of BaTb2Pa. Values from VASP.

Structure (Quantum ESPRESSO input):
```
&SYSTEM
  ibrav = 0, nat = 4, ntyp = 3
/
ATOMIC_SPECIES
Ba 137.33 Ba.upf
Tb 158.93 Tb.upf
Pa 231.04 Pa.upf
ATOMIC_POSITIONS angstrom
Ba 0.0000 0.0000 0.0000
Tb 0.0000 0.0000 3.6110
Tb 0.0000 0.0000 33.9942
Pa 0.0000 0.0000 18.8026
CELL_PARAMETERS angstrom
1.7598 1.0160 12.5351
-1.7598 1.0160 12.5351
0.0000 -2.0320 12.5351
```


(19)
A plane-wave DFT calculation with GGA-PBE was carried out for a relaxed structure of CaSn2. Values from VASP.

Structure (Quantum ESPRESSO input):
```
&SYSTEM
  ibrav = 0, nat = 6, ntyp = 2
/
ATOMIC_SPECIES
Ca 40.08 Ca.upf
Sn 118.71 Sn.upf
ATOMIC_POSITIONS angstrom
Ca 1.1097 1.1097 1.1097
Ca 7.7679 7.7679 7.7679
Sn 4.4388 2.2194 2.2194
Sn 2.2194 4.4388 2.2194
Sn 2.2194 2.2194 4.4388
Sn 4.4388 4.4388 4.4388
CELL_PARAMETERS angstrom
0.0000 4.4388 4.4388
4.4388 0.0000 4.4388
4.4388 4.4388 0.0000
```


(20)
A plane-wave DFT calculation with GGA-PBE was carried out for a relaxed structure of La2MgTlCd. Values from VASP.

Structure (Quantum ESPRESSO input):
```
&SYSTEM
  ibrav = 0, nat = 5, ntyp = 4
/
ATOMIC_SPECIES
La 138.91 La.upf
Mg 24.30 Mg.upf
Tl 204.38 Tl.upf
Cd 112.41 Cd.upf
ATOMIC_POSITIONS angstrom
La 0.0000 2.9476 0.0000
La 2.9476 0.0000 0.0000
Mg 0.0000 0.0000 0.0000
Tl 2.9476 2.9476 2.5158
Cd 0.0000 0.0000 2.5158
CELL_PARAMETERS angstrom
5.8952 0.0000 0.0000
0.0000 5.8952 0.0000
0.0000 0.0000 5.0316
```


no.,total DFT energy (no corrections) (eV/cell)
1,-105.8
2,-47.9
3,-7.9
4,-11.9
5,-61.0
6,-128.8
7,-22.0
8,-16.4
9,-17.5
10,-30.1
11,-48.3
12,-104.1
13,-7.6
14,-41.6
15,-46.4
16,-21.1
17,-31.5
18,-19.5
19,-22.5
20,-13.3